(1)
VASP calculation (PBE) on crystalline Bi4Se2S3 at its relaxed geometry.

Cell: 5.5545 5.5545 13.3607 Å, 102.75 102.75 42.03°
Last column: nearest neighbours and their distance in Å.
Positions (direct):
Bi  0.0310  0.0310  0.1257  2 S 2.71
Bi  0.3943  0.3943  0.3481  3 S 2.87-2.90, 2 Se 2.88
Bi  0.6057  0.6057  0.6519  3 S 2.87-2.90, 2 Se 2.88
Bi  0.9690  0.9690  0.8743  2 S 2.71
Se  0.3119  0.3119  0.7032  4 Bi 2.88-3.18
Se  0.6881  0.6881  0.2968  4 Bi 2.88-3.18
S  0.0000  0.0000  0.5000  4 Bi 2.87
S  0.3543  0.3543  0.1259  3 Bi 2.71-2.90
S  0.6457  0.6457  0.8741  3 Bi 2.71-2.90

* uncorrected formation energy: -0.17 eV per atom



(2)
VASP calculation (PBE) on crystalline K2NiSe at its relaxed geometry.

Cell: 3.5592 3.5592 9.7173 Å, 90.00 90.00 90.00°
Last column: nearest neighbours and their distance in Å.
Positions (direct):
K  0.0000  0.0000  0.0000  1 Ni 2.93
K  0.5000  0.5000  0.4197  1 Se 3.11
Ni  0.0000  0.0000  0.6986  4 Se 2.55
Se  0.5000  0.5000  0.7401  4 Ni 2.55

* uncorrected formation energy: -0.12 eV per atom



(3)
VASP calculation (PBE) on crystalline LiCe3Si6Ni2 at its relaxed geometry.

Cell: 5.8366 5.8366 7.7014 Å, 90.00 90.00 120.00°
Last column: nearest neighbours and their distance in Å.
Positions (direct):
Li  0.0000  0.0000  0.0000  6 Si 2.53
Ce  0.0000  0.0000  0.5000  6 Si 2.98
Ce  0.3333  0.6667  0.1413  9 Si 2.98-3.04, 1 Ni 3.16
Ce  0.6667  0.3333  0.8587  9 Si 2.98-3.04, 1 Ni 3.16
Si  0.1937  0.3875  0.7911  1 Ni 2.32, 2 Si 2.44, 1 Li 2.53
Si  0.1937  0.8063  0.7911  1 Ni 2.32, 2 Si 2.44, 1 Li 2.53
Si  0.3875  0.1937  0.2089  1 Ni 2.32, 2 Si 2.44, 1 Li 2.53
Si  0.6125  0.8063  0.7911  1 Ni 2.32, 2 Si 2.44, 1 Li 2.53
Si  0.8063  0.1937  0.2089  1 Ni 2.32, 2 Si 2.44, 1 Li 2.53
Si  0.8063  0.6125  0.2089  1 Ni 2.32, 2 Si 2.44, 1 Li 2.53
Ni  0.3333  0.6667  0.5513  3 Si 2.32
Ni  0.6667  0.3333  0.4487  3 Si 2.32

* uncorrected formation energy: -0.32 eV per atom



(4)
VASP calculation (PBE) on crystalline SmLuAgPb at its relaxed geometry.

Cell: 5.2905 5.2905 5.2905 Å, 60.00 60.00 60.00°
Last column: nearest neighbours and their distance in Å.
Positions (direct):
Sm  0.0000  0.0000  0.0000  4 Pb 3.24, 4 Ag 3.24
Lu  0.5000  0.5000  0.5000  4 Pb 3.24, 4 Ag 3.24
Ag  0.2500  0.2500  0.2500  4 Sm 3.24, 4 Lu 3.24
Pb  0.7500  0.7500  0.7500  4 Sm 3.24, 4 Lu 3.24

* formation energy: -1.46 eV per formula unit